A | ## Pm6Nd8Tm (PBE)

Data for a relaxed structure of Pm6Nd8Tm.

Output
**Calculated volume**: 520 Å³ per cell
**DOS at the Fermi energy**: 22.309 states/eV/cell

a b c (Å): 9.957 9.957 8.346
angles (deg): 53.38 53.38 60.00
Atoms (fractional coordinates):
Pm: 0.390 0.919 0.973
Pm: 0.081 0.282 0.027
Pm: 0.282 0.610 0.027
Pm: 0.718 0.390 0.973
Pm: 0.919 0.718 0.973
Pm: 0.610 0.081 0.027
Nd: 0.354 0.227 0.491
Nd: 0.773 0.071 0.509
Nd: 0.071 0.646 0.509
Nd: 0.586 0.586 0.243
Nd: 0.414 0.414 0.757
Nd: 0.929 0.354 0.491
Nd: 0.227 0.929 0.491
Nd: 0.646 0.773 0.509
Tm: 0.000 0.000 0.000

***

B | ## Pm6Nd8Tm (PBE)

Data for a relaxed structure of Pm6Nd8Tm.

Output
**Calculated volume**: 525 Å³ per cell
**DOS at the Fermi energy**: 22.032 states/eV/cell

a b c (Å): 8.842 8.842 8.842
angles (deg): 63.32 63.32 63.32
Atoms (fractional coordinates):
Pm: 0.902 0.460 0.760
Pm: 0.240 0.098 0.540
Pm: 0.540 0.240 0.098
Pm: 0.460 0.760 0.902
Pm: 0.760 0.902 0.460
Pm: 0.098 0.540 0.240
Nd: 0.113 0.717 0.751
Nd: 0.249 0.887 0.283
Nd: 0.283 0.249 0.887
Nd: 0.578 0.578 0.578
Nd: 0.422 0.422 0.422
Nd: 0.717 0.751 0.113
Nd: 0.751 0.113 0.717
Nd: 0.887 0.283 0.249
Tm: 0.000 0.000 0.000

***

Least stable structure: A